! ZrPCl2, relaxed, DFT GGA-PBE; values from VASP
&SYSTEM
  ibrav = 0, nat = 4, ntyp = 3
/
ATOMIC_SPECIES
Cl 35.45 Cl.upf
P 30.97 P.upf
Zr 91.22 Zr.upf
ATOMIC_POSITIONS angstrom
Cl 1.2745 -2.2665 -1.2786
P 2.5491 -4.5330 -2.5572
Zr 3.8236 -6.7996 -3.8358
Cl 0.0000 0.0000 0.0000
CELL_PARAMETERS angstrom
-0.5638 -4.5057 -1.3307
2.0106 -1.5578 -3.9901
3.6514 -3.0025 0.2064
! Calculated volume, Å³/cell: 75
! Energy, eV/atom: -4.732
! Spin magnetization, μB/f.u.: 0.0
! ΔE to the lowest computed polymorph, meV/atom: 714
! E_form (uncorrected), eV/atom: -0.319
! DOS(E_F), states/eV/atom: 0.7780

=====

! ZrP2Cl, relaxed, DFT GGA-PBE; values from VASP
&SYSTEM
  ibrav = 0, nat = 4, ntyp = 3
/
ATOMIC_SPECIES
Zr 91.22 Zr.upf
P 30.97 P.upf
Cl 35.45 Cl.upf
ATOMIC_POSITIONS angstrom
Zr 2.5421 1.8307 0.0000
P 0.0000 0.0000 0.0000
P 0.0000 1.8307 1.8307
Cl 2.5421 0.0000 1.8307
CELL_PARAMETERS angstrom
5.0843 0.0000 0.0000
0.0000 3.6614 0.0000
0.0000 0.0000 3.6614
! Calculated volume, Å³/cell: 68
! Energy, eV/atom: -5.592
! Spin magnetization, μB/f.u.: 0.0
! ΔE to the lowest computed polymorph, meV/atom: 566
! E_form (uncorrected), eV/atom: -0.289
! DOS(E_F), states/eV/atom: 0.3077

=====

! ZrP2Cl, relaxed, DFT GGA-PBE; values from VASP
&SYSTEM
  ibrav = 0, nat = 4, ntyp = 3
/
ATOMIC_SPECIES
P 30.97 P.upf
Zr 91.22 Zr.upf
Cl 35.45 Cl.upf
ATOMIC_POSITIONS angstrom
P -0.2212 -0.5882 0.8614
P -1.9299 -2.2695 0.3298
Zr -0.7490 -1.9912 2.9160
Cl -2.6155 -4.0923 2.9991
CELL_PARAMETERS angstrom
-3.1832 0.2796 -0.6267
0.1198 -2.7016 -1.8140
-1.6348 -4.3461 6.3646
! Calculated volume, Å³/cell: 84
! Energy, eV/atom: -5.973
! Spin magnetization, μB/f.u.: 0.0
! ΔE to the lowest computed polymorph, meV/atom: 186
! E_form (uncorrected), eV/atom: -0.669
! DOS(E_F), states/eV/atom: 0.6490

=====

! ZrPCl, relaxed, DFT GGA-PBE; values from VASP
&SYSTEM
  ibrav = 0, nat = 3, ntyp = 3
/
ATOMIC_SPECIES
Zr 91.22 Zr.upf
P 30.97 P.upf
Cl 35.45 Cl.upf
ATOMIC_POSITIONS angstrom
Zr 0.0000 0.0000 0.0000
P -7.6630 0.1290 -3.2040
Cl -5.1087 0.0860 -2.1360
CELL_PARAMETERS angstrom
-3.2049 2.6327 -1.8008
-2.6510 -1.5986 -3.2958
-4.3614 -0.8622 0.8246
! Calculated volume, Å³/cell: 65
! Energy, eV/atom: -5.489
! Spin magnetization, μB/f.u.: 0.0
! ΔE to the lowest computed polymorph, meV/atom: 1118
! E_form (uncorrected), eV/atom: -0.221
! DOS(E_F), states/eV/atom: 0.0850

=====

! ZrPCl, relaxed, DFT GGA-PBE; values from VASP
&SYSTEM
  ibrav = 0, nat = 3, ntyp = 3
/
ATOMIC_SPECIES
Cl 35.45 Cl.upf
Zr 91.22 Zr.upf
P 30.97 P.upf
ATOMIC_POSITIONS angstrom
Cl 0.0000 0.0000 0.0000
Zr -2.9665 -7.0206 3.2509
P -1.9777 -4.6804 2.1673
CELL_PARAMETERS angstrom
-3.7161 -2.1043 1.4510
-0.4694 -4.4410 -0.6326
0.2301 -2.8155 3.5161
! Calculated volume, Å³/cell: 65
! Energy, eV/atom: -6.069
! Spin magnetization, μB/f.u.: 0.0
! ΔE to the lowest computed polymorph, meV/atom: 538
! E_form (uncorrected), eV/atom: -0.801
! DOS(E_F), states/eV/atom: 0.0244

=====

! ZrPCl2, relaxed, DFT GGA-PBE; values from VASP
&SYSTEM
  ibrav = 0, nat = 4, ntyp = 3
/
ATOMIC_SPECIES
Cl 35.45 Cl.upf
P 30.97 P.upf
Zr 91.22 Zr.upf
ATOMIC_POSITIONS angstrom
Cl -3.3567 -1.2431 -0.7377
P -4.0749 1.0662 0.9738
Cl -6.6741 1.7463 1.5950
Zr -5.7699 -0.6117 -0.1610
CELL_PARAMETERS angstrom
-0.9181 -0.4553 -3.3434
-0.7220 -3.3582 0.6556
-7.2942 1.9085 1.7432
! Calculated volume, Å³/cell: 95
! Energy, eV/atom: -5.222
! Spin magnetization, μB/f.u.: 0.4
! ΔE to the lowest computed polymorph, meV/atom: 224
! E_form (uncorrected), eV/atom: -0.809
! DOS(E_F), states/eV/atom: 0.5046